Record 1
## Sm6TeP2S3 (GGA-PBE)

Data for Sm6TeP2S3 after structural relaxation.

Cell lengths 17.9117, 4.1025, 8.2957 Å; angles 90.00, 102.59, 90.00 degrees
Space group C2/m (No. 12)
Inequivalent atoms, fractional coordinates:
Sm: 0.0052 0.0000 0.2794 x4
Sm: 0.1691 0.5000 0.5789 x4
Sm: 0.1767 0.5000 0.1022 x4
Te: 0.0000 0.5000 0.0000 x2
P: 0.1677 0.0000 0.3352 x4
S: 0.0000 0.5000 0.5000 x2
S: 0.1627 0.0000 0.8352 x4

Results
Total magnetization (μB per atom): 0.00
Uncorrected formation energy (eV/f.u.): -21.53
DFT total energy (eV/atom): -6.35



Record 2
## Cd2Pd3Au3 (GGA-PBE)

Data for Cd2Pd3Au3 after structural relaxation.

Cell lengths 4.1383, 4.2428, 7.9112 Å; angles 90.00, 90.00, 90.00 degrees
Space group Pmmm (No. 47)
Inequivalent atoms, fractional coordinates:
Cd: 0.0000 0.0000 0.2429 x2
Pd: 0.0000 0.5000 0.0000 x1
Pd: 0.5000 0.0000 0.0000 x1
Pd: 0.5000 0.0000 0.5000 x1
Au: 0.0000 0.5000 0.5000 x1
Au: 0.5000 0.5000 0.2454 x2

Results
Total magnetization (μB per atom): 0.00
DFT total energy (eV/atom): -3.69



Record 3
## UTaGe (GGA-PBE)

Data for UTaGe after structural relaxation.

Cell lengths 7.6233, 3.6030, 8.4039 Å; angles 90.00, 90.00, 90.00 degrees
Space group Pnma (No. 62)
Inequivalent atoms, fractional coordinates:
U: 0.0245 0.2500 0.1101 x4
Ta: 0.1269 0.2500 0.5611 x4
Ge: 0.2106 0.7500 0.3402 x4

Results
Total magnetization (μB per atom): 0.08
DFT total energy (eV/atom): -9.51



Record 4
## Sr2MgAs3Pt4 (GGA-PBE)

Data for Sr2MgAs3Pt4 after structural relaxation.

Cell lengths 4.4239, 4.4239, 10.5213 Å; angles 90.00, 90.00, 90.00 degrees
Space group P-4m2 (No. 115)
Inequivalent atoms, fractional coordinates:
Sr: 0.0000 0.5000 0.2424 x2
Mg: 0.0000 0.0000 0.5000 x1
As: 0.0000 0.5000 0.8726 x2
As: 0.5000 0.5000 0.5000 x1
Pt: 0.0000 0.0000 0.0000 x1
Pt: 0.0000 0.5000 0.6349 x2
Pt: 0.5000 0.5000 0.0000 x1

Results
Total magnetization (μB per atom): 0.00
DFT total energy (eV/atom): -5.12